No. 1
Density functional theory data (GGA-PBE) for a relaxed structure of LaZr2Sc.

As for the uncorrected energy: -6.991 eV/atom. The calculation puts the calculated volume at 105.1 Å³ per cell. The calculation puts the energy above the most stable polymorph in this dataset at 0.00 eV per formula unit. The formation energy is 37.7 kJ/mol of formula units.

Cell: 5.144 3.280 6.439 Å, 75.25 90.00 90.00°
Atoms (fractional coordinates):
1 Zr 0.500 0.075 0.226
2 Zr 0.000 0.191 0.994
3 La 0.000 0.441 0.493
4 Sc 0.500 0.794 0.787



No. 2
Density functional theory data (GGA-PBE) for a relaxed structure of Ta3PbI.

As for the uncorrected energy: -6.175 eV/atom. The calculation puts the calculated volume at 127.7 Å³ per cell. The calculation puts the energy above the most stable polymorph in this dataset at 0.00 eV per formula unit.

Cell: 5.036 5.036 5.036 Å, 90.00 90.00 90.00°
Atoms (fractional coordinates):
1 Pb 0.500 0.500 0.500
2 I 0.000 0.000 0.000
3 Ta 0.000 0.500 0.000
4 Ta 0.500 0.000 0.000
5 Ta 0.000 0.000 0.500



No. 3
Density functional theory data (GGA-PBE) for a relaxed structure of Li2PS.

As for the uncorrected energy: -3.723 eV/atom. The calculation puts the calculated volume at 122.0 Å³ per cell. The calculation puts the energy above the most stable polymorph in this dataset at 0.00 eV per formula unit.

Cell: 6.989 6.989 5.537 Å, 50.87 50.87 90.00°
Atoms (fractional coordinates):
1 S 0.000 0.000 0.000
2 S 0.750 0.250 0.500
3 Li 0.875 0.906 0.750
4 Li 0.656 0.125 0.250
5 Li 0.094 0.625 0.250
6 Li 0.375 0.344 0.750
7 P 0.500 0.500 0.000
8 P 0.250 0.750 0.500



No. 4
Density functional theory data (GGA-PBE) for a relaxed structure of Ti2AlVN.

As for the uncorrected energy: -6.349 eV/atom. The calculation puts the calculated volume at 83.2 Å³ per cell. The calculation puts the energy above the most stable polymorph in this dataset at 9.38 eV per formula unit.

Cell: 4.913 3.445 4.913 Å, 90.00 90.00 90.00°
Atoms (fractional coordinates):
1 Ti 0.500 0.000 0.000
2 Ti 0.000 0.000 0.500
3 N 0.000 0.500 0.000
4 V 0.500 0.500 0.500
5 Al 0.000 0.000 0.000



No. 5
Density functional theory data (GGA-PBE) for a relaxed structure of ReRu2Pt2Rh2.

As for the uncorrected energy: -8.286 eV/atom. The calculation puts the calculated volume at 101.8 Å³ per cell. The formation energy is -20.9 kJ/mol of formula units.

Cell: 3.892 4.746 6.103 Å, 97.28 90.00 114.21°
Atoms (fractional coordinates):
1 Pt 0.288 0.576 0.356
2 Pt 0.712 0.424 0.644
3 Ru 0.860 0.720 0.077
4 Ru 0.140 0.280 0.923
5 Rh 0.568 0.136 0.208
6 Rh 0.432 0.864 0.792
7 Re 0.000 0.000 0.500



No. 6
Density functional theory data (GGA-PBE) for a relaxed structure of Dy4SbIr.

As for the uncorrected energy: -5.960 eV/atom. The calculation puts the calculated volume at 325.6 Å³ per cell. The calculation puts the energy above the most stable polymorph in this dataset at 0.00 eV per formula unit.

Cell: 6.104 6.498 8.758 Å, 90.00 110.40 90.00°
Atoms (fractional coordinates):
1 Dy 0.567 0.250 0.400
2 Dy 0.398 0.750 0.113
3 Dy 0.995 0.501 0.294
4 Dy 0.995 0.999 0.294
5 Dy 0.433 0.750 0.600
6 Dy 0.005 0.001 0.706
7 Dy 0.005 0.499 0.706
8 Dy 0.602 0.250 0.887
9 Ir 0.730 0.750 0.429
10 Ir 0.270 0.250 0.571
11 Sb 0.797 0.750 0.955
12 Sb 0.203 0.250 0.045



No. 7
Density functional theory data (GGA-PBE) for a relaxed structure of Tm2AlPbO6.

As for the uncorrected energy: -7.114 eV/atom. The calculation puts the calculated volume at 144.0 Å³ per cell.

Cell: 5.277 5.223 5.223 Å, 90.00 90.00 90.00°
Atoms (fractional coordinates):
1 Pb 0.536 0.500 0.500
2 Al 0.602 0.000 0.000
3 O 0.118 0.500 0.500
4 O 0.745 0.233 0.233
5 O 0.745 0.233 0.767
6 O 0.261 0.000 0.000
7 O 0.745 0.767 0.767
8 O 0.745 0.767 0.233
9 Tm 0.975 0.500 0.000
10 Tm 0.975 0.000 0.500



No. 8
Density functional theory data (GGA-PBE) for a relaxed structure of Na6Hg5Te.

As for the uncorrected energy: -1.417 eV/atom. The calculation puts the calculated volume at 329.2 Å³ per cell.

Cell: 5.191 9.571 9.571 Å, 122.69 105.82 105.82°
Atoms (fractional coordinates):
1 Hg 0.500 0.500 0.500
2 Hg 0.500 0.796 0.204
3 Hg 0.500 0.204 0.796
4 Hg 0.000 0.678 0.322
5 Hg 0.000 0.322 0.678
6 Na 0.234 0.389 0.080
7 Na 0.766 0.920 0.611
8 Na 0.743 0.243 0.243
9 Na 0.234 0.080 0.389
10 Na 0.766 0.611 0.920
11 Na 0.257 0.757 0.757
12 Te 0.000 0.000 0.000



> What is the uncorrected energy in the sixth record?

-5.960 eV/atom



> Which value of uncorrected energy does entry 2 give?

-6.175 eV/atom



Repeat the first record exactly.
Density functional theory data (GGA-PBE) for a relaxed structure of LaZr2Sc.

As for the uncorrected energy: -6.991 eV/atom. The calculation puts the calculated volume at 105.1 Å³ per cell. The calculation puts the energy above the most stable polymorph in this dataset at 0.00 eV per formula unit. The formation energy is 37.7 kJ/mol of formula units.

Cell: 5.144 3.280 6.439 Å, 75.25 90.00 90.00°
Atoms (fractional coordinates):
1 Zr 0.500 0.075 0.226
2 Zr 0.000 0.191 0.994
3 La 0.000 0.441 0.493
4 Sc 0.500 0.794 0.787



> Look up the uncorrected energy of the fourth one.

-6.349 eV/atom